This record from Alexandria describes an optimized crystal structure of NaSb2Se2. The functional is PBE-GGA.

For the density of states at the Fermi level, the calculation gives 4.8 states/eV per cell. For the total energy, the calculation gives -0.12698 Ha/atom. Its raw formation energy is -0.149 eV/atom. The calculation puts the magnetization at 0.00 μB/cell.

Structure (POSCAR):
```
NaSb2Se2
1.0
-2.1496 2.1496 7.6321
2.1496 -2.1496 7.6321
2.1496 2.1496 -7.6321
Na Sb Se
1 2 2
Direct
0.0000 0.0000 0.0000
0.2500 0.7500 0.5000
0.7500 0.2500 0.5000
0.4175 0.4175 0.0000
0.5825 0.5825 0.0000
```

---

This record from Alexandria describes an optimized crystal structure of Tb3Dy12Al. The functional is PBE-GGA.

For the density of states at the Fermi level, the calculation gives 20.3 states/eV per cell. For the total energy, the calculation gives -0.16805 Ha/atom. The value obtained for the formation energy is -1.9 kJ/mol of atoms. The calculation puts the magnetization at 0.00 μB/cell.

Structure (POSCAR):
```
Tb3Dy12Al
1.0
4.9316 0.0000 0.0000
0.0000 4.9316 0.0000
0.0000 0.0000 20.0205
Tb Dy Al
3 12 1
Direct
0.0000 0.0000 0.0000
0.0000 0.0000 0.2537
0.0000 0.0000 0.7463
0.0000 0.5000 0.1279
0.0000 0.5000 0.3829
0.0000 0.5000 0.6171
0.0000 0.5000 0.8721
0.5000 0.0000 0.1279
0.5000 0.0000 0.3829
0.5000 0.0000 0.6171
0.5000 0.0000 0.8721
0.5000 0.5000 0.0000
0.5000 0.5000 0.2574
0.5000 0.5000 0.5000
0.5000 0.5000 0.7426
0.0000 0.0000 0.5000
```

---

This record from Alexandria describes an optimized crystal structure of Ho3Ni6Sn5. The functional is PBE-GGA.

For the density of states at the Fermi level, the calculation gives 11.1 states/eV per cell. For the total energy, the calculation gives -0.19854 Ha/atom. The value obtained for the formation energy is -49.6 kJ/mol of atoms. The calculation puts the magnetization at 0.00 μB/cell.

Structure (POSCAR):
```
Ho3Ni6Sn5
1.0
-2.1888 4.7994 6.1424
2.1888 -4.7994 6.1424
2.1888 4.7994 -6.1424
Ho Ni Sn
3 6 5
Direct
0.0000 0.0000 0.0000
0.3113 0.3113 0.0000
0.6887 0.6887 0.0000
0.1607 0.8845 0.2762
0.3233 0.5000 0.8233
0.3917 0.1155 0.2762
0.6083 0.8845 0.7238
0.6767 0.5000 0.1767
0.8393 0.1155 0.7238
0.0115 0.6688 0.3427
0.3260 0.6688 0.6573
0.5000 0.0000 0.5000
0.6740 0.3312 0.3427
0.9885 0.3312 0.6573
```

---

This record from Alexandria describes an optimized crystal structure of Zn2InRe. The functional is PBE-GGA.

For the density of states at the Fermi level, the calculation gives 0.4 states/eV per cell. For the total energy, the calculation gives -0.15283 Ha/atom. The value obtained for the formation energy is 26.5 kJ/mol of atoms. The calculation puts the magnetization at 0.00 μB/cell.

Structure (POSCAR):
```
Zn2InRe
1.0
-1.9071 1.9071 4.3996
1.9071 -1.9071 4.3996
1.9071 1.9071 -4.3996
Zn In Re
2 1 1
Direct
0.0000 0.0000 0.0000
0.7500 0.2500 0.5000
0.5000 0.5000 0.0000
0.2500 0.7500 0.5000
```

---

- What is the magnetization in the second record?
  0.00 μB/cell

---

- Which formula does entry 1 have?
  NaSb2Se2